Record 1
First-principles (GGA-PBE) data for an optimized crystal structure of KSn2Au, as listed in Alexandria via LeMat-Bulk.

Cell lengths 7.9545, 4.5739, 7.2237 Å; angles 90.00, 90.13, 90.00 degrees
With the nearest neighbours (Å) after each atom.
Space group C2/m (No. 12)
Unique sites:
K (0.0000, 0.0000, 0.0000) [2 per cell]  2 Au 3.61, 6 Sn 3.70-3.71
Sn (0.1674, 0.5000, 0.6405) [4 per cell]  3 Au 2.83-2.84
Au (0.0000, 0.0000, 0.5000) [2 per cell]  6 Sn 2.83-2.84

Record 2
First-principles (GGA-PBE) data for an optimized crystal structure of K3Sn2Au4, as listed in Alexandria via LeMat-Bulk.

Results
As for the energy relative to the lowest polymorph listed for this composition: 0 meV/atom.

Cell lengths 4.8271, 6.6352, 9.3983 Å; angles 76.37, 89.95, 68.73 degrees
With the nearest neighbours (Å) after each atom.
Space group P-1 (No. 2)
Unique sites:
K (0.0000, 0.0000, 0.0000) [1 per cell]  8 Au 3.45-3.86
K (0.3694, 0.2609, 0.6159) [2 per cell]  6 Au 3.42-3.60, 2 Sn 3.57-3.67
Sn (0.3364, 0.3262, 0.2163) [2 per cell]  5 Au 2.80-2.87
Au (0.0817, 0.8386, 0.6288) [2 per cell]  2 Au 2.72-2.95, 2 Sn 2.87
Au (0.2539, 0.4922, 0.9102) [2 per cell]  3 Sn 2.80, 3 Au 2.95-2.96

ΔE_f list, top to bottom, in meV/atom: -282 -308
DFT total energy list, top to bottom, in eV/cell: -27.0 -27.2
DOS at the Fermi energy list, top to bottom, in states/eV per cell: 2.6 3.2